Entry A
CrNiI2N after structural relaxation. Source: the Alexandria database, functional GGA-PBE.

```
data_CrNiI2N
_cell_length_a 5.445
_cell_length_b 5.445
_cell_length_c 3.457
_cell_angle_alpha 90.00
_cell_angle_beta 90.00
_cell_angle_gamma 90.00
_space_group_name_H-M_alt 'P 4/m m m'
_space_group_IT_number 123
_space_group_name_Hall '-P 4 2'
loop_
_atom_site_label
_atom_site_fract_x
_atom_site_fract_y
_atom_site_fract_z
Cr1 0.000 0.000 0.000
Ni1 0.500 0.500 0.500
I1 0.000 0.500 0.500
N1 0.500 0.500 0.000
```


Entry B
CrNiI2N after structural relaxation. Source: the Alexandria database, functional GGA-PBE.

```
data_CrNiI2N
_cell_length_a 5.490
_cell_length_b 5.490
_cell_length_c 3.588
_cell_angle_alpha 90.00
_cell_angle_beta 90.00
_cell_angle_gamma 90.00
_space_group_name_H-M_alt 'P 4/m m m'
_space_group_IT_number 123
_space_group_name_Hall '-P 4 2'
loop_
_atom_site_label
_atom_site_fract_x
_atom_site_fract_y
_atom_site_fract_z
Cr1 0.000 0.000 0.000
Ni1 0.500 0.500 0.500
I1 0.000 0.500 0.000
N1 0.000 0.000 0.500
```


If we sort the structures by their calculated energies, the order from most to least stable is entry B, entry A.


Entry A
CrOsI2N after structural relaxation. Source: the Alexandria database, functional GGA-PBE.

```
data_CrOsI2N
_cell_length_a 5.436
_cell_length_b 5.436
_cell_length_c 3.692
_cell_angle_alpha 90.00
_cell_angle_beta 90.00
_cell_angle_gamma 90.00
_space_group_name_H-M_alt 'P 4/m m m'
_space_group_IT_number 123
_space_group_name_Hall '-P 4 2'
loop_
_atom_site_label
_atom_site_fract_x
_atom_site_fract_y
_atom_site_fract_z
Cr1 0.000 0.000 0.000
Os1 0.500 0.500 0.000
I1 0.000 0.500 0.500
N1 0.500 0.500 0.500
```


Entry B
CrOsI2N after structural relaxation. Source: the Alexandria database, functional GGA-PBE.

```
data_CrOsI2N
_cell_length_a 5.592
_cell_length_b 5.592
_cell_length_c 3.739
_cell_angle_alpha 90.00
_cell_angle_beta 90.00
_cell_angle_gamma 90.00
_space_group_name_H-M_alt 'P 4/m m m'
_space_group_IT_number 123
_space_group_name_Hall '-P 4 2'
loop_
_atom_site_label
_atom_site_fract_x
_atom_site_fract_y
_atom_site_fract_z
Cr1 0.000 0.000 0.000
Os1 0.500 0.500 0.500
I1 0.000 0.500 0.500
N1 0.500 0.500 0.000
```


If we sort the structures by their calculated energies, the order from most to least stable is entry B, entry A.


Entry A
CrPIN2 after structural relaxation. Source: the Alexandria database, functional GGA-PBE.

```
data_CrPIN2
_cell_length_a 3.610
_cell_length_b 3.610
_cell_length_c 7.043
_cell_angle_alpha 90.00
_cell_angle_beta 90.00
_cell_angle_gamma 90.00
_space_group_name_H-M_alt 'P 4/m m m'
_space_group_IT_number 123
_space_group_name_Hall '-P 4 2'
loop_
_atom_site_label
_atom_site_fract_x
_atom_site_fract_y
_atom_site_fract_z
Cr1 0.000 0.000 0.000
P1 0.500 0.500 0.500
I1 0.500 0.500 0.000
N1 0.000 0.500 0.500
```


Entry B
CrPIN2 after structural relaxation. Source: the Alexandria database, functional GGA-PBE.

```
data_CrPIN2
_cell_length_a 3.725
_cell_length_b 3.725
_cell_length_c 5.919
_cell_angle_alpha 90.00
_cell_angle_beta 90.00
_cell_angle_gamma 90.00
_space_group_name_H-M_alt 'P 4/m m m'
_space_group_IT_number 123
_space_group_name_Hall '-P 4 2'
loop_
_atom_site_label
_atom_site_fract_x
_atom_site_fract_y
_atom_site_fract_z
Cr1 0.000 0.000 0.000
P1 0.500 0.500 0.500
I1 0.000 0.000 0.500
N1 0.000 0.500 0.000
```


If we sort the structures by their calculated energies, the order from most to least stable is entry B, entry A.


Entry A
CrPdIN2 after structural relaxation. Source: the Alexandria database, functional GGA-PBE.

```
data_CrPdIN2
_cell_length_a 3.886
_cell_length_b 3.886
_cell_length_c 7.366
_cell_angle_alpha 90.00
_cell_angle_beta 90.00
_cell_angle_gamma 90.00
_space_group_name_H-M_alt 'P 4/m m m'
_space_group_IT_number 123
_space_group_name_Hall '-P 4 2'
loop_
_atom_site_label
_atom_site_fract_x
_atom_site_fract_y
_atom_site_fract_z
Cr1 0.000 0.000 0.000
Pd1 0.500 0.500 0.500
I1 0.500 0.500 0.000
N1 0.000 0.500 0.500
```


Entry B
CrPdIN2 after structural relaxation. Source: the Alexandria database, functional GGA-PBE.

```
data_CrPdIN2
_cell_length_a 3.720
_cell_length_b 3.720
_cell_length_c 5.837
_cell_angle_alpha 90.00
_cell_angle_beta 90.00
_cell_angle_gamma 90.00
_space_group_name_H-M_alt 'P 4/m m m'
_space_group_IT_number 123
_space_group_name_Hall '-P 4 2'
loop_
_atom_site_label
_atom_site_fract_x
_atom_site_fract_y
_atom_site_fract_z
Cr1 0.000 0.000 0.000
Pd1 0.500 0.500 0.500
I1 0.000 0.000 0.500
N1 0.000 0.500 0.000
```


If we sort the structures by their calculated energies, the order from most to least stable is entry B, entry A.


Entry A
CrPtI2N after structural relaxation. Source: the Alexandria database, functional GGA-PBE.

```
data_CrPtI2N
_cell_length_a 5.769
_cell_length_b 5.769
_cell_length_c 3.735
_cell_angle_alpha 90.00
_cell_angle_beta 90.00
_cell_angle_gamma 90.00
_space_group_name_H-M_alt 'P 4/m m m'
_space_group_IT_number 123
_space_group_name_Hall '-P 4 2'
loop_
_atom_site_label
_atom_site_fract_x
_atom_site_fract_y
_atom_site_fract_z
Cr1 0.000 0.000 0.000
Pt1 0.500 0.500 0.500
I1 0.000 0.500 0.500
N1 0.500 0.500 0.000
```


Entry B
CrPtI2N after structural relaxation. Source: the Alexandria database, functional GGA-PBE.

```
data_CrPtI2N
_cell_length_a 5.444
_cell_length_b 5.444
_cell_length_c 3.549
_cell_angle_alpha 90.00
_cell_angle_beta 90.00
_cell_angle_gamma 90.00
_space_group_name_H-M_alt 'P 4/m m m'
_space_group_IT_number 123
_space_group_name_Hall '-P 4 2'
loop_
_atom_site_label
_atom_site_fract_x
_atom_site_fract_y
_atom_site_fract_z
Cr1 0.000 0.000 0.000
Pt1 0.500 0.500 0.500
I1 0.000 0.500 0.000
N1 0.000 0.000 0.500
```


If we sort the structures by their calculated energies, the order from most to least stable is entry B, entry A.


Entry A
CrReI2N after structural relaxation. Source: the Alexandria database, functional GGA-PBE.

```
data_CrReI2N
_cell_length_a 5.603
_cell_length_b 5.603
_cell_length_c 3.575
_cell_angle_alpha 90.00
_cell_angle_beta 90.00
_cell_angle_gamma 90.00
_space_group_name_H-M_alt 'P 4/m m m'
_space_group_IT_number 123
_space_group_name_Hall '-P 4 2'
loop_
_atom_site_label
_atom_site_fract_x
_atom_site_fract_y
_atom_site_fract_z
Cr1 0.000 0.000 0.000
Re1 0.500 0.500 0.500
I1 0.000 0.500 0.000
N1 0.000 0.000 0.500
```


Entry B
CrReI2N after structural relaxation. Source: the Alexandria database, functional GGA-PBE.

```
data_CrReI2N
_cell_length_a 5.600
_cell_length_b 5.600
_cell_length_c 3.780
_cell_angle_alpha 90.00
_cell_angle_beta 90.00
_cell_angle_gamma 90.00
_space_group_name_H-M_alt 'P 4/m m m'
_space_group_IT_number 123
_space_group_name_Hall '-P 4 2'
loop_
_atom_site_label
_atom_site_fract_x
_atom_site_fract_y
_atom_site_fract_z
Cr1 0.000 0.000 0.000
Re1 0.500 0.500 0.500
I1 0.000 0.500 0.500
N1 0.500 0.500 0.000
```


If we sort the structures by their calculated energies, the order from most to least stable is entry B, entry A.